No. 1
K2HoNbO6 | PBE | optimized geometry

- magnetic moment (μB/atom) = 0.204
- E_tot (eV/atom) = -6.891
- N(E_F) (states/eV/f.u.) = 4.8
- energy relative to the elements, uncorrected (eV per atom) = -2.232

Cell: 6.035 6.036 6.037 Å, 59.99 59.99 90.00°
Last column: magnetic moment on the atom in μB.
Fractional positions:
O (0.236, 0.236, 0.000)  0.30
K (0.750, 0.250, 0.500)  0.00
O (0.236, 0.764, 0.000)  0.30
O (0.236, 0.236, 0.529)  0.30
O (0.764, 0.764, 0.471)  0.30
Nb (0.000, 0.000, 0.000)  -0.14
Ho (0.500, 0.500, 0.000)  -0.06
K (0.250, 0.750, 0.500)  0.00
O (0.764, 0.236, 0.000)  0.30
O (0.764, 0.764, 0.000)  0.30

***

No. 2
La3Dy2PaN6 | PBE | optimized geometry

- magnetic moment (μB/atom) = 0.000
- E_tot (eV/atom) = -8.509
- N(E_F) (states/eV/f.u.) = 3.0
- energy relative to the elements, uncorrected (eV per atom) = -1.556

Cell: 6.194 6.194 6.324 Å, 99.38 99.38 119.97°
Fractional positions:
N (0.074, 0.391, 0.221)
N (0.391, 0.074, 0.221)
La (0.831, 0.169, 0.500)
La (0.169, 0.831, 0.500)
N (0.756, 0.756, 0.223)
N (0.926, 0.609, 0.779)
La (0.500, 0.500, 0.500)
Dy (0.666, 0.334, 0.000)
Pa (0.000, 0.000, 0.000)
N (0.609, 0.926, 0.779)
Dy (0.334, 0.666, 0.000)
N (0.244, 0.244, 0.777)

***

No. 3
HgCSeN2 | PBE | optimized geometry

- magnetic moment (μB/atom) = 0.614
- E_tot (eV/atom) = -3.559
- N(E_F) (states/eV/f.u.) = 2.1
- distance to the lowest polymorph of the same formula (meV/atom) = 0
- energy relative to the elements, uncorrected (eV per atom) = 2.373

Cell: 3.826 3.826 4.535 Å, 90.00 90.00 90.00°
Last column: magnetic moment on the atom in μB.
Fractional positions:
C (0.000, 0.000, 0.000)  -0.06
Se (0.000, 0.000, 0.500)  0.18
N (0.500, 0.000, 0.000)  1.02
Hg (0.500, 0.500, 0.500)  0.06
N (0.000, 0.500, 0.000)  1.02

***

No. 4
InP2F2 | PBE | optimized geometry

- magnetic moment (μB/atom) = 0.000
- E_tot (eV/atom) = -3.729
- N(E_F) (states/eV/f.u.) = 2.3
- distance to the lowest polymorph of the same formula (meV/atom) = 551
- energy relative to the elements, uncorrected (eV per atom) = -0.269

Cell: 7.955 7.955 2.649 Å, 90.00 90.00 90.00°
Fractional positions:
F (0.380, 0.880, 0.000)
P (0.238, 0.738, 0.500)
P (0.762, 0.262, 0.500)
F (0.620, 0.120, 0.000)
P (0.738, 0.762, 0.500)
F (0.120, 0.380, 0.000)
P (0.262, 0.238, 0.500)
In (0.000, 0.000, 0.000)
In (0.500, 0.500, 0.000)
F (0.880, 0.620, 0.000)

***

No. 5
RbTeP | PBE | optimized geometry

- magnetic moment (μB/atom) = 0.000
- E_tot (eV/atom) = -3.652
- distance to the lowest polymorph of the same formula (meV/atom) = 0
- energy relative to the elements, uncorrected (eV per atom) = -0.479

Cell: 5.122 5.550 8.794 Å, 98.64 100.45 90.56°
Fractional positions:
Rb (0.507, 0.224, 0.268)
Te (0.023, 0.744, 0.320)
P (0.900, 0.335, 0.952)
P (0.100, 0.665, 0.048)
Te (0.977, 0.256, 0.680)
Rb (0.493, 0.776, 0.732)

***

No. 6
SrTiI2O | PBE | optimized geometry

- magnetic moment (μB/atom) = 0.298
- E_tot (eV/atom) = -4.947
- N(E_F) (states/eV/f.u.) = 2.2
- distance to the lowest polymorph of the same formula (meV/atom) = 0
- energy relative to the elements, uncorrected (eV per atom) = -1.419

Cell: 5.953 5.953 3.851 Å, 90.00 90.00 90.00°
Last column: magnetic moment on the atom in μB.
Fractional positions:
O (0.000, 0.000, 0.500)  -0.07
Sr (0.500, 0.500, 0.500)  0.03
Ti (0.000, 0.000, 0.000)  1.17
I (0.000, 0.500, 0.000)  0.00
I (0.500, 0.000, 0.000)  0.00

***

> Look up the E_tot of the fifth one.

-3.652 eV/atom

***

What did the second record say?
La3Dy2PaN6 | PBE | optimized geometry

- magnetic moment (μB/atom) = 0.000
- E_tot (eV/atom) = -8.509
- N(E_F) (states/eV/f.u.) = 3.0
- energy relative to the elements, uncorrected (eV per atom) = -1.556

Cell: 6.194 6.194 6.324 Å, 99.38 99.38 119.97°
Fractional positions:
N (0.074, 0.391, 0.221)
N (0.391, 0.074, 0.221)
La (0.831, 0.169, 0.500)
La (0.169, 0.831, 0.500)
N (0.756, 0.756, 0.223)
N (0.926, 0.609, 0.779)
La (0.500, 0.500, 0.500)
Dy (0.666, 0.334, 0.000)
Pa (0.000, 0.000, 0.000)
N (0.609, 0.926, 0.779)
Dy (0.334, 0.666, 0.000)
N (0.244, 0.244, 0.777)

***

> Which of these has the lowest energy relative to the elements, uncorrected?

K2HoNbO6